# 1
The following is a PBE calculation of an optimized crystal structure of Sc6As2PbS3, from Alexandria via LeMat-Bulk.

Cell lengths 3.785, 7.811, 8.639 Å; angles 103.58, 102.65, 90.00 degrees
Sites, in units of the cell vectors:
Sc  0.324  0.913  0.648
Sc  0.669  0.583  0.339
Sc  0.676  0.087  0.352
Sc  0.998  0.278  0.996
Sc  0.002  0.722  0.004
Sc  0.331  0.417  0.661
As  0.834  0.668  0.668
As  0.166  0.332  0.332
Pb  0.500  0.000  0.000
S  0.500  0.500  0.000
S  0.834  0.170  0.668
S  0.166  0.830  0.332

Summary:
SG: C2/m (12)
Raw formation energy: -1.420 eV/atom

---

# 2
The following is a PBE calculation of an optimized crystal structure of La5ZnRu2, from Alexandria via LeMat-Bulk.

Cell lengths 7.997, 7.997, 9.010 Å; angles 116.35, 116.35, 90.00 degrees
Sites, in units of the cell vectors:
La  0.532  0.704  0.735
La  0.796  0.968  0.265
La  0.000  0.000  0.000
La  0.500  0.500  0.000
La  0.204  0.032  0.735
La  0.704  0.204  0.735
La  0.032  0.532  0.735
La  0.296  0.796  0.265
La  0.968  0.468  0.265
La  0.468  0.296  0.265
Zn  0.750  0.750  0.500
Zn  0.250  0.250  0.500
Ru  0.140  0.360  0.000
Ru  0.640  0.140  0.000
Ru  0.360  0.860  0.000
Ru  0.860  0.640  0.000

Summary:
E: -5.845 eV/atom
SG: I4/mcm (140)

---

# 3
The following is a PBE calculation of an optimized crystal structure of TcAgCl2, from Alexandria via LeMat-Bulk.

Cell lengths 4.920, 4.920, 4.920 Å; angles 123.81, 123.81, 83.51 degrees
Site moments in Bohr magnetons follow the coordinates.
Sites, in units of the cell vectors:
Tc  0.250  0.750  0.500  3.48
Ag  0.750  0.250  0.500  0.01
Cl  0.000  0.000  0.000  0.09
Cl  0.500  0.500  0.000  0.09

Summary:
SG: I4/mmm (139)
Raw formation energy: 0.482 eV/atom

---

# 4
The following is a PBE calculation of an optimized crystal structure of TbSmSi2Pt5, from Alexandria via LeMat-Bulk.

Cell lengths 4.221, 4.221, 8.987 Å; angles 90.00, 90.00, 90.00 degrees
Sites, in units of the cell vectors:
Tb  0.000  0.000  0.000
Sm  0.000  0.000  0.500
Si  0.500  0.500  0.132
Si  0.500  0.500  0.868
Pt  0.000  0.500  0.262
Pt  0.500  0.000  0.262
Pt  0.000  0.500  0.738
Pt  0.500  0.000  0.738
Pt  0.500  0.500  0.500

Summary:
SG: P4/mmm (123)
Raw formation energy: -1.073 eV/atom